6
Lattice="0.0000 3.4876 3.4876 3.4876 0.0000 3.4876 3.4876 3.4876 0.0000" Properties=species:S:1:pos:R:3 comment="GdCo4Tc PBE optimized geometry" formation_enthalpy_0k_ev_per_atom=0.096 pbc="T T T"
Gd 0.0000 0.0000 0.0000
Co 4.3534 2.6219 2.6219
Co 2.6219 4.3534 2.6219
Co 2.6219 2.6219 4.3534
Co 4.3534 4.3534 4.3534
Tc 1.7438 1.7438 1.7438

6
Lattice="2.0362 1.1756 7.0319 -2.0362 1.1756 7.0319 0.0000 -2.3512 7.0319" Properties=species:S:1:pos:R:3 comment="Ti4BeRh PBE optimized geometry" formation_enthalpy_0k_ev_per_atom=0.019 pbc="T T T"
Ti 0.0000 0.0000 2.4803
Ti 0.0000 0.0000 7.8087
Ti 0.0000 0.0000 13.2871
Ti 0.0000 0.0000 18.6154
Be 0.0000 0.0000 0.0000
Rh 0.0000 0.0000 10.5479

14
Lattice="2.0648 -7.6814 0.0000 2.0648 7.6814 0.0000 0.0000 0.0000 14.5449" Properties=species:S:1:pos:R:3 comment="TmSb2Te4 PBE optimized geometry" e_form_raw_mev_per_atom=-400 pbc="T T T"
Tm 2.0648 5.9649 10.9087
Tm 2.0648 -5.9649 3.6362
Sb 2.0648 2.0530 8.2622
Sb 2.0648 2.0530 13.5551
Sb 2.0648 -2.0530 0.9898
Sb 2.0648 -2.0530 6.2827
Te 0.0000 0.0000 0.0000
Te 0.0000 0.0000 7.2724
Te 2.0648 3.2049 1.7909
Te 2.0648 3.2049 5.4816
Te 2.0648 0.4750 10.9087
Te 2.0648 -0.4750 3.6362
Te 2.0648 -3.2049 9.0633
Te 2.0648 -3.2049 12.7540

4
Lattice="2.3444 1.3535 6.8732 -2.3444 1.3535 6.8732 0.0000 -2.7071 6.8732" Properties=species:S:1:pos:R:3 comment="CaIn2Pb PBE optimized geometry" formation_enthalpy_0k_ev_per_atom=-0.126 pbc="T T T"
Ca 0.0000 0.0000 0.0000
In 0.0000 0.0000 8.8110
In 0.0000 0.0000 11.9372
Pb 0.0000 0.0000 3.5759

8
Lattice="-1.8715 1.8715 9.4194 1.8715 -1.8715 9.4194 1.8715 1.8715 -9.4194" Properties=species:S:1:pos:R:3 comment="ReAsPd2 PBE optimized geometry" formation_enthalpy_0k_ev_per_atom=0.449 pbc="T T T"
Re 0.0000 0.0000 0.0000
Re 0.0000 1.8715 4.7097
As 1.8715 0.0000 4.7097
As 0.0000 0.0000 9.4194
Pd 2.8073 0.9337 -2.3549
Pd 0.9337 0.9358 2.3549
Pd -0.9358 0.9378 7.0646
Pd 0.9378 0.9358 11.7743

12
Lattice="8.3465 0.0000 0.0000 0.0000 4.4914 0.0000 -2.5139 0.0000 11.0963" Properties=species:S:1:pos:R:3 comment="Ac3TlIrCl PBE optimized geometry" e_form_raw_mev_per_atom=-826 pbc="T T T"
Ac -0.2935 1.1229 4.2109
Ac -0.6882 1.1229 10.3123
Ac 1.7778 3.3686 7.2096
Ac 4.0548 1.1229 3.8867
Ac 6.5207 3.3686 0.7840
Ac 6.1260 3.3686 6.8855
Tl 1.4396 3.3686 2.1536
Tl 4.3930 1.1229 8.9428
Ir -0.2393 1.1229 7.2303
Ir 6.0719 3.3686 3.8660
Cl 1.3202 3.3686 10.0656
Cl 4.5124 1.1229 1.0307

20
Lattice="-4.3276 4.3276 4.3276 4.3276 -4.3276 4.3276 4.3276 4.3276 -4.3276" Properties=species:S:1:pos:R:3 comment="K4CuAg3F12 PBE optimized geometry" e_form_raw_mev_per_atom=-1932 pbc="T T T"
K 2.1638 2.1638 -2.1638
K 2.1638 -2.1638 2.1638
K -2.1638 2.1638 2.1638
K 2.1638 2.1638 2.1638
Cu 0.0000 0.0000 0.0000
Ag 4.3276 0.0000 0.0000
Ag 0.0000 4.3276 0.0000
Ag 0.0000 0.0000 4.3276
F 1.9756 0.0000 0.0000
F 6.6796 0.0000 0.0000
F 0.0000 1.9756 0.0000
F 0.0000 0.0000 1.9756
F 4.3276 2.1638 0.0000
F 4.3276 0.0000 2.1638
F 2.1638 4.3276 0.0000
F 2.1638 0.0000 4.3276
F 0.0000 4.3276 2.1638
F 0.0000 2.1638 4.3276
F 0.0000 6.6796 0.0000
F 0.0000 0.0000 6.6796

6
Lattice="2.3443 -4.4961 0.0000 2.3443 4.4961 0.0000 -0.9613 0.0000 4.5913" Properties=species:S:1:pos:R:3 comment="MnSbPd4 PBE optimized geometry" de_polymorph_kj_per_mol_fu=0 e_form_raw_mev_per_atom=-333 pbc="T T T"
Mn 0.0000 0.0000 0.0000
Sb 1.8636 0.0000 2.2957
Pd 1.8636 3.0638 2.2957
Pd 2.3443 1.4502 0.0000
Pd 2.3443 -1.4502 0.0000
Pd 1.8636 -3.0638 2.2957

| no. | magnetic moment (μB per formula unit) | DOS at the Fermi energy (states/eV per atom) | ρ (g cm⁻³) |
| --- | --- | --- | --- |
| 1 | 15.04 | 1.3730 | 9.609 |
| 2 | 0.00 | 1.5069 | 4.988 |
| 3 | 0.00 | 0.4986 | 6.643 |
| 4 | 0.00 | 0.3881 | 6.052 |
| 5 | 1.35 | 1.0784 | 11.928 |
| 6 | 0.00 | 0.7415 | 8.886 |
| 7 | 1.20 | 0.1844 | 3.952 |
| 8 | 4.33 | 0.4804 | 10.335 |